# 1
A plane-wave DFT calculation with PBE was carried out for a relaxed structure of CeDy4Ho4.

a b c (Å): 7.8946 7.8946 7.8946
angles (deg): 95.77 95.77 143.03
Closest atoms and distances in Å follow each position.
Element x y z (fractional)
Ce  0.0000  0.0000  0.0000  4 Dy 3.52, 8 Ho 3.52
Dy  0.0000  0.3324  0.3324  1 Ce 3.52, 6 Ho 3.53-3.54, 5 Dy 3.54-3.55
Dy  0.0000  0.6676  0.6676  1 Ce 3.52, 6 Ho 3.53-3.54, 5 Dy 3.54-3.55
Dy  0.3324  0.0000  0.3324  1 Ce 3.52, 6 Ho 3.53-3.54, 5 Dy 3.54-3.55
Dy  0.6676  0.0000  0.6676  1 Ce 3.52, 6 Ho 3.53-3.54, 5 Dy 3.54-3.55
Ho  0.3346  0.3346  0.6693  4 Ho 3.50-3.56, 2 Ce 3.52, 6 Dy 3.53-3.54
Ho  0.3346  0.6654  0.0000  4 Ho 3.50-3.56, 2 Ce 3.52, 6 Dy 3.53-3.54
Ho  0.6654  0.3346  0.0000  4 Ho 3.50-3.56, 2 Ce 3.52, 6 Dy 3.53-3.54
Ho  0.6654  0.6654  0.3307  4 Ho 3.50-3.56, 2 Ce 3.52, 6 Dy 3.53-3.54

Properties
Its energy above the most stable polymorph in this dataset is 0.0 kJ per mole of atoms. As for the space-group type: I4/mmm, No. 139. The energy of formation comes out at 41.3 meV/atom. The calculation puts the size of the total moment at 1.10 μB per formula unit.

***

# 2
A plane-wave DFT calculation with PBE was carried out for a relaxed structure of CeDyHo.

a b c (Å): 6.2033 6.2033 10.5905
angles (deg): 90.00 90.00 116.85
Closest atoms and distances in Å follow each position.
Element x y z (fractional)
Ce  0.9999  0.5001  0.2500  2 Ce 3.25, 4 Dy 3.25-3.26, 4 Ho 3.26
Ce  0.0001  0.4999  0.7500  2 Ce 3.25, 4 Dy 3.25-3.26, 4 Ho 3.26
Ce  0.4999  0.0001  0.2500  2 Ce 3.25, 4 Dy 3.25-3.26, 4 Ho 3.26
Ce  0.5001  0.9999  0.7500  2 Ce 3.25, 4 Dy 3.25-3.26, 4 Ho 3.26
Dy  0.0005  0.9995  0.1567  4 Ce 3.25-3.26, 1 Dy 3.32
Dy  0.9995  0.0005  0.8433  4 Ce 3.25-3.26, 1 Dy 3.32
Dy  0.5005  0.4995  0.3433  4 Ce 3.25-3.26, 1 Dy 3.32
Dy  0.4995  0.5005  0.6567  4 Ce 3.25-3.26, 1 Dy 3.32
Ho  0.1575  0.8425  0.5000  4 Ce 3.26, 1 Ho 3.33
Ho  0.3425  0.6575  0.0000  4 Ce 3.26, 1 Ho 3.33
Ho  0.6575  0.3425  0.0000  4 Ce 3.26, 1 Ho 3.33
Ho  0.8425  0.1575  0.5000  4 Ce 3.26, 1 Ho 3.33

Properties
Its energy above the most stable polymorph in this dataset is 17.5 kJ per mole of atoms. As for the space-group type: Cmce, No. 64. The energy of formation comes out at 244.9 meV/atom. The calculation puts the size of the total moment at 0.69 μB per formula unit.

***

Number 1: E_tot -0.3453 Ry per atom. Number 2: E_tot -0.3523 Ry per atom.